Sr2Li2HgPd5 PBE optimized geometry; total magnetization = 0.00 μB/f.u.; energy of formation = -483 meV/atom; DOS(E_F) = 0.314 states/eV/atom; crystal system = tetragonal
1.0
-1.538 -3.570 0.420
4.950 -3.061 -7.887
7.531 -2.571 5.724
Pd Sr Hg Li
10 4 2 4
Direct
0.500 0.938 0.213
0.500 0.213 0.062
0.500 0.287 0.562
0.500 0.500 0.000
0.500 0.713 0.438
0.500 0.562 0.713
0.500 0.062 0.787
0.500 0.438 0.287
0.500 0.000 0.500
0.500 0.787 0.938
0.000 0.317 0.817
0.000 0.817 0.683
0.000 0.683 0.183
0.000 0.183 0.317
0.000 0.500 0.500
0.000 0.000 0.000
0.000 0.115 0.615
0.000 0.385 0.115
0.000 0.885 0.385
0.000 0.615 0.885